## Sm2GaNi6B (PBE)

Data for Sm2GaNi6B after structural relaxation.

Summary:
**DFT total energy**: -58.03 eV/cell
**Formation energy from the elements**: -0.420 eV/atom

Unit cell a=5.4026 b=5.4026 c=5.7688 alpha=90.00 beta=90.00 gamma=120.00
Space group P-3m1 (No. 164)
Asymmetric unit:
Sm 0.3333 0.6667 0.1803 x2
Ga 0.0000 0.0000 0.0000 x1
Ni 0.1813 0.3626 0.6763 x6
B 0.0000 0.0000 0.5000 x1

---

## SrGaNi3B (PBE)

Data for SrGaNi3B after structural relaxation.

Summary:
**DFT total energy**: -120.07 eV/cell
**Formation energy from the elements**: -0.215 eV/atom

Unit cell a=5.613 b=11.163 c=6.002 alpha=90.00 beta=90.00 gamma=90.00
Space group Cmcm (No. 63)
Asymmetric unit:
Sr 0.000 0.235 0.250 x4
Ga 0.000 0.109 0.750 x4
Ni 0.000 0.325 0.750 x4
Ni 0.223 0.500 0.000 x8
B 0.000 0.497 0.750 x4

---

## Tb2GaNi12B3 (PBE)

Data for Tb2GaNi12B3 after structural relaxation.

Summary:
**DFT total energy**: -310.72 eV/cell
**Formation energy from the elements**: -0.104 eV/atom

Unit cell a=7.1004 b=7.1004 c=16.1434 alpha=90.00 beta=90.00 gamma=120.00
Space group R-3m (No. 166, hexagonal axes)
Asymmetric unit:
Tb 0.0000 0.0000 0.0957 x6
Ga 0.0000 0.0000 0.5000 x3
Ni 0.0389 0.5194 0.8811 x18
Ni 0.0690 0.5345 0.3095 x18
B 0.0000 0.5000 0.0000 x9

---

## Th2GaNi12B3 (PBE)

Data for Th2GaNi12B3 after structural relaxation.

Summary:
**DFT total energy**: -330.11 eV/cell
**Formation energy from the elements**: -0.153 eV/atom

Unit cell a=7.3480 b=7.3480 c=15.7606 alpha=90.00 beta=90.00 gamma=120.00
Space group R-3m (No. 166, hexagonal axes)
Asymmetric unit:
Th 0.0000 0.0000 0.1103 x6
Ga 0.0000 0.0000 0.5000 x3
Ni 0.0058 0.5029 0.8797 x18
Ni 0.0659 0.5329 0.3434 x18
B 0.0000 0.5000 0.0000 x9

---

## Tm3GaNi9B2 (PBE)

Data for Tm3GaNi9B2 after structural relaxation.

Summary:
**DFT total energy**: -88.45 eV/cell
**Formation energy from the elements**: -0.442 eV/atom

Unit cell a=5.3486 b=5.3486 c=8.3790 alpha=90.00 beta=90.00 gamma=120.00
Space group P-3m1 (No. 164)
Asymmetric unit:
Tm 0.0000 0.0000 0.0000 x1
Tm 0.3333 0.6667 0.6294 x2
Ga 0.0000 0.0000 0.5000 x1
Ni 0.0000 0.5000 0.0000 x3
Ni 0.1653 0.3305 0.2788 x6
B 0.3333 0.6667 0.1443 x2

---

## Y2GaNi12B3 (PBE)

Data for Y2GaNi12B3 after structural relaxation.

Summary:
**DFT total energy**: -321.32 eV/cell
**Formation energy from the elements**: -0.097 eV/atom

Unit cell a=7.1013 b=7.1013 c=16.2056 alpha=90.00 beta=90.00 gamma=120.00
Space group R-3m (No. 166, hexagonal axes)
Asymmetric unit:
Y 0.0000 0.0000 0.0956 x6
Ga 0.0000 0.0000 0.5000 x3
Ni 0.0379 0.5189 0.8815 x18
Ni 0.0694 0.5347 0.3099 x18
B 0.0000 0.5000 0.0000 x9

---

## Zn2GaNi5B2 (PBE)

Data for Zn2GaNi5B2 after structural relaxation.

Summary:
**DFT total energy**: -100.80 eV/cell
**Formation energy from the elements**: -0.256 eV/atom

Unit cell a=8.747 b=8.747 c=2.822 alpha=90.00 beta=90.00 gamma=90.00
Space group P4/mbm (No. 127)
Asymmetric unit:
Zn 0.179 0.321 0.000 x4
Ga 0.000 0.000 0.000 x2
Ni 0.000 0.500 0.500 x2
Ni 0.067 0.778 0.500 x8
B 0.123 0.623 0.000 x4

---

## ZrGa2NiB (PBE)

Data for ZrGa2NiB after structural relaxation.

Summary:
**DFT total energy**: -20.22 eV/cell
**Formation energy from the elements**: 1.368 eV/atom

Unit cell a=5.183 b=5.183 c=4.285 alpha=90.00 beta=90.00 gamma=90.00
Space group P4/mmm (No. 123)
Asymmetric unit:
Zr 0.000 0.000 0.000 x1
Ga 0.000 0.500 0.000 x2
Ni 0.500 0.500 0.500 x1
B 0.000 0.000 0.500 x1

---

## NpGaB (PBE)

Data for NpGaB after structural relaxation.

Summary:
**DFT total energy**: -128.87 eV/cell
**Formation energy from the elements**: 0.389 eV/atom

Unit cell a=4.2194 b=4.2194 c=21.0059 alpha=90.00 beta=90.00 gamma=120.00
Space group R-3m (No. 166, hexagonal axes)
Asymmetric unit:
Np 0.0000 0.0000 0.0994 x6
Ga 0.0000 0.0000 0.3214 x6
B 0.0000 0.0000 0.2154 x6

---

## NpGa3B4O12 (PBE)

Data for NpGa3B4O12 after structural relaxation.

Summary:
**DFT total energy**: -458.13 eV/cell

Unit cell a=9.6096 b=9.6096 c=7.6212 alpha=90.00 beta=90.00 gamma=120.00
Space group R32 (No. 155, hexagonal axes)
Asymmetric unit:
Np 0.0000 0.0000 0.0000 x3
Ga 0.0000 0.5514 0.0000 x9
B 0.0000 0.0000 0.5000 x3
B 0.0000 0.4452 0.5000 x9
O 0.0000 0.5905 0.5000 x9
O 0.0000 0.8550 0.5000 x9
O 0.0273 0.2154 0.1871 x18

---

## Np3GaB2Rh9 (PBE)

Data for Np3GaB2Rh9 after structural relaxation.

Summary:
**DFT total energy**: -126.81 eV/cell
**Formation energy from the elements**: -0.363 eV/atom

Unit cell a=5.7235 b=5.7235 c=8.6575 alpha=90.00 beta=90.00 gamma=120.00
Space group P-3m1 (No. 164)
Asymmetric unit:
Np 0.0000 0.0000 0.0000 x1
Np 0.3333 0.6667 0.6260 x2
Ga 0.0000 0.0000 0.5000 x1
B 0.3333 0.6667 0.1474 x2
Rh 0.0000 0.5000 0.0000 x3
Rh 0.1648 0.3295 0.2835 x6

---

## Np2GaB2Ru5 (PBE)

Data for Np2GaB2Ru5 after structural relaxation.

Summary:
**DFT total energy**: -184.68 eV/cell
**Formation energy from the elements**: -0.370 eV/atom

Unit cell a=9.599 b=9.599 c=3.078 alpha=90.00 beta=90.00 gamma=90.00
Space group P4/mbm (No. 127)
Asymmetric unit:
Np 0.177 0.323 0.000 x4
Ga 0.000 0.000 0.000 x2
B 0.123 0.623 0.000 x4
Ru 0.000 0.500 0.500 x2
Ru 0.070 0.782 0.500 x8

---

## GaBO2 (PBE)

Data for GaBO2 after structural relaxation.

Summary:
**DFT total energy**: -102.14 eV/cell

Unit cell a=4.843 b=4.843 c=6.813 alpha=90.00 beta=90.00 gamma=90.00
Space group I-42d (No. 122)
Asymmetric unit:
Ga 0.000 0.000 0.000 x4
B 0.000 0.000 0.500 x4
O 0.056 0.750 0.625 x8

---

## GaBO2 (PBE)

Data for GaBO2 after structural relaxation.

Summary:
**DFT total energy**: -71.17 eV/cell

Unit cell a=5.285 b=5.285 c=5.285 alpha=90.00 beta=90.00 gamma=90.00
Space group Fm-3m (No. 225)
Asymmetric unit:
Ga 0.000 0.000 0.000 x4
B 0.000 0.000 0.500 x4
O 0.250 0.250 0.250 x8

---

## Ga2BO (PBE)

Data for Ga2BO after structural relaxation.

Summary:
**DFT total energy**: -62.20 eV/cell

Unit cell a=5.730 b=5.730 c=5.730 alpha=90.00 beta=90.00 gamma=90.00
Space group Fm-3m (No. 225)
Asymmetric unit:
Ga 0.250 0.250 0.250 x8
B 0.000 0.000 0.000 x4
O 0.000 0.000 0.500 x4

---

## Ga2B4O (PBE)

Data for Ga2B4O after structural relaxation.

Summary:
**DFT total energy**: -60.99 eV/cell

Unit cell a=4.235 b=4.235 c=9.240 alpha=90.00 beta=90.00 gamma=90.00
Space group I4/mmm (No. 139)
Asymmetric unit:
Ga 0.000 0.000 0.133 x4
B 0.000 0.000 0.355 x4
B 0.000 0.500 0.000 x4
O 0.000 0.000 0.500 x2

---

## GaBO2 (PBE)

Data for GaBO2 after structural relaxation.

Summary:
**DFT total energy**: -72.56 eV/cell

Unit cell a=2.5259 b=2.5259 c=17.6125 alpha=90.00 beta=90.00 gamma=120.00
Space group R-3m (No. 166, hexagonal axes)
Asymmetric unit:
Ga 0.0000 0.0000 0.0000 x3
B 0.0000 0.0000 0.5000 x3
O 0.0000 0.0000 0.1172 x6

---

## Ga2BO4 (PBE)

Data for Ga2BO4 after structural relaxation.

Summary:
**DFT total energy**: -89.68 eV/cell

Unit cell a=4.770 b=4.770 c=7.068 alpha=90.00 beta=90.00 gamma=90.00
Space group I-42m (No. 121)
Asymmetric unit:
Ga 0.000 0.500 0.250 x4
B 0.000 0.000 0.000 x2
O 0.185 0.185 0.117 x8

---

## Ga2BO6 (PBE)

Data for Ga2BO6 after structural relaxation.

Summary:
**DFT total energy**: -102.75 eV/cell

Unit cell a=4.376 b=4.376 c=8.615 alpha=90.00 beta=90.00 gamma=90.00
Space group P4_2/mnm (No. 136)
Asymmetric unit:
Ga 0.000 0.000 0.171 x4
B 0.000 0.000 0.500 x2
O 0.186 0.186 0.355 x8
O 0.230 0.230 0.000 x4

---

## GaB6O6 (PBE)

Data for GaB6O6 after structural relaxation.

Summary:
**DFT total energy**: -175.36 eV/cell

Unit cell a=6.359 b=10.522 c=4.908 alpha=90.00 beta=106.07 gamma=90.00
Space group C2/m (No. 12)
Asymmetric unit:
Ga 0.000 0.000 0.000 x2
B 0.123 0.500 0.184 x4
B 0.158 0.296 0.074 x8
O 0.110 0.500 0.855 x4
O 0.236 0.381 0.290 x8